No. 1
Below is an optimized crystal structure of Ta2NbPt, with properties calculated at the PBE level.

## Properties
* uncorrected energy: -82.02 eV for the cell shown
* E_form: -115 kJ/mol of formula units
* DOS at the Fermi energy: 3.38 states/eV/f.u.

abc: 5.341 5.580 5.723
angles: 102.75 99.98 117.42
Space group P-1 (No. 2)
One atom of each set of equivalent atoms:
Ta1 0.001 0.251 0.374 x2
Ta2 0.008 0.258 0.871 x2
Nb1 0.496 0.744 0.346 x2
Pt1 0.483 0.228 0.156 x2


No. 2
Below is an optimized crystal structure of Ta4Nb2Pt5, with properties calculated at the PBE level.

## Properties
* uncorrected energy: -202.45 eV for the cell shown
* E_form: -335 kJ/mol of formula units
* DOS at the Fermi energy: 4.12 states/eV/f.u.

abc: 12.478 5.252 6.958
angles: 90.00 120.40 90.00
Space group C2/m (No. 12)
One atom of each set of equivalent atoms:
Ta1 0.089 0.000 0.451 x4
Ta2 0.248 0.000 0.301 x4
Nb1 0.107 0.500 0.222 x4
Pt1 0.000 0.500 0.500 x2
Pt2 0.120 0.247 0.887 x8


No. 3
Below is an optimized crystal structure of Ta2Nb5Pt2, with properties calculated at the PBE level.

## Properties
* uncorrected energy: -177.55 eV for the cell shown
* E_form: -255 kJ/mol of formula units
* DOS at the Fermi energy: 6.27 states/eV/f.u.

abc: 13.478 4.635 5.387
angles: 90.00 108.96 90.00
Space group C2/m (No. 12)
One atom of each set of equivalent atoms:
Ta1 0.220 0.000 0.120 x4
Nb1 0.000 0.000 0.000 x2
Nb2 0.060 0.500 0.770 x4
Nb3 0.115 0.000 0.558 x4
Pt1 0.153 0.500 0.299 x4